Record 1
Below is crystalline Sr3YU2P6 at its relaxed geometry, with properties calculated at the GGA-PBE level.

POSCAR file:
```
Sr3YU2P6
1.0
3.5730 -6.1880 0.0000
3.5730 6.1880 0.0000
-2.3812 0.0000 6.9263
Sr Y U P
3 1 2 6
direct
0.0000 0.0000 0.0000
0.3355 0.6645 0.0000
0.6645 0.3355 0.0000
0.5000 0.5000 0.5000
0.1670 0.8330 0.5000
0.8330 0.1670 0.5000
0.0849 0.4287 0.2867
0.2274 0.2274 0.7134
0.4287 0.0849 0.2867
0.5713 0.9151 0.7133
0.7726 0.7726 0.2866
0.9151 0.5713 0.7133
```

Properties
Energy relative to the elements in meV/atom: -1144
Total magnetic moment in μB per formula unit: 2.993
Total DFT energy (no corrections) in eV/cell: -80.3

Record 2
Below is crystalline RbSmSb at its relaxed geometry, with properties calculated at the GGA-PBE level.

POSCAR file:
```
RbSmSb
1.0
2.5642 1.4805 13.5200
-2.5642 1.4805 13.5200
0.0000 -2.9609 13.5200
Rb Sm Sb
2 2 2
direct
0.1120 0.1120 0.1120
0.8880 0.8880 0.8880
0.3041 0.3041 0.3041
0.6959 0.6959 0.6959
0.3847 0.3847 0.3847
0.6153 0.6153 0.6153
```

Properties
Uncorrected formation energy in eV/atom: -0.5615
Total magnetic moment in μB per formula unit: 0.000
Total DFT energy (no corrections) in eV/cell: -23.0

Record 3
Below is crystalline BaLi3N at its relaxed geometry, with properties calculated at the GGA-PBE level.

POSCAR file:
```
BaLi3N
1.0
6.8765 0.0000 0.0000
0.0000 6.8765 0.0000
0.0000 0.0000 6.8765
Ba Li N
1 3 1
direct
0.0000 0.0000 0.0000
0.0000 0.0000 0.5000
0.0000 0.5000 0.0000
0.5000 0.0000 0.0000
0.5000 0.5000 0.5000
```

Properties
Polymorph energy (0 for the lowest one) in meV per atom: 1700
Uncorrected formation energy in eV/atom: 1.8187
Total magnetic moment in μB per formula unit: 0.001
Total DFT energy (no corrections) in eV/cell: -6.9

Record 4
Below is crystalline Er4GaAu at its relaxed geometry, with properties calculated at the GGA-PBE level.

POSCAR file:
```
Er4GaAu
1.0
7.1456 0.0000 0.0000
0.0000 6.9244 0.0000
-0.1250 0.0000 7.0018
Er Ga Au
8 2 2
direct
0.1557 0.1567 0.3444
0.1557 0.3433 0.8444
0.3364 0.6579 0.3375
0.3364 0.8421 0.8375
0.6636 0.1579 0.1625
0.6636 0.3421 0.6625
0.8443 0.6567 0.1556
0.8443 0.8433 0.6556
0.5000 0.0000 0.5000
0.5000 0.5000 0.0000
0.0000 0.0000 0.0000
0.0000 0.5000 0.5000
```

Properties
Energy relative to the elements in meV/atom: -331
Total magnetic moment in μB per formula unit: 0.000
Total DFT energy (no corrections) in eV/cell: -53.1

Record 5
Below is crystalline BaZnGe2Bi at its relaxed geometry, with properties calculated at the GGA-PBE level.

POSCAR file:
```
BaZnGe2Bi
1.0
5.6146 0.0000 0.0000
0.0000 5.6146 0.0000
0.0000 0.0000 5.4443
Ba Zn Ge Bi
1 1 2 1
direct
0.0000 0.0000 0.0000
0.5000 0.5000 0.0000
0.0000 0.5000 0.5000
0.5000 0.0000 0.5000
0.5000 0.5000 0.5000
```

Properties
Energy relative to the elements in meV/atom: 274
Total magnetic moment in μB per formula unit: 0.000
Total DFT energy (no corrections) in eV/cell: -14.9

Record 6
Below is crystalline TiBiBr2O at its relaxed geometry, with properties calculated at the GGA-PBE level.

POSCAR file:
```
TiBiBr2O
1.0
5.9283 0.0000 0.0000
0.0000 5.9283 0.0000
0.0000 0.0000 3.6185
Ti Bi Br O
1 1 2 1
direct
0.0000 0.0000 0.0000
0.5000 0.5000 0.0000
0.0000 0.5000 0.5000
0.5000 0.0000 0.5000
0.0000 0.0000 0.5000
```

Properties
Uncorrected formation energy in eV/atom: -0.5776
Total magnetic moment in μB per formula unit: 0.416
Total DFT energy (no corrections) in eV/cell: -23.0

Record 7
Below is crystalline KZnAg at its relaxed geometry, with properties calculated at the GGA-PBE level.

POSCAR file:
```
KZnAg
1.0
3.8539 -2.2227 0.0000
3.8539 2.2227 0.0000
-2.5447 0.0000 11.1843
K Zn Ag
2 2 2
direct
0.2268 0.2268 0.1806
0.7732 0.7732 0.8194
0.3443 0.3443 0.5322
0.6557 0.6557 0.4678
0.0411 0.0411 0.6218
0.9589 0.9589 0.3782
```

Properties
Polymorph energy (0 for the lowest one) in meV per atom: 94
Energy relative to the elements in meV/atom: 75
Total magnetic moment in μB per formula unit: 0.000
Total DFT energy (no corrections) in eV/cell: -10.0

Record 8
Below is crystalline BaTiTe2 at its relaxed geometry, with properties calculated at the GGA-PBE level.

POSCAR file:
```
BaTiTe2
1.0
-4.1276 4.1276 4.1853
4.1276 -4.1276 4.1853
4.1276 4.1276 -4.1853
Ba Ti Te
2 2 4
direct
0.0000 0.0000 0.0000
0.7500 0.2500 0.5000
0.2500 0.7500 0.5000
0.5000 0.5000 0.0000
0.1956 0.6250 0.0706
0.3750 0.4456 0.5706
0.5544 0.1250 0.9294
0.8750 0.8044 0.4294
```

Properties
Polymorph energy (0 for the lowest one) in meV per atom: 0
Uncorrected formation energy in eV/atom: -0.9039
Total magnetic moment in μB per formula unit: 2.000
Total DFT energy (no corrections) in eV/cell: -39.4

Which of these has the highest total magnetic moment? Sr3YU2P6